Entry 1:
DFT (PBE) results for an optimized crystal structure of BaSr2As.

```
data_BaSr2As
_chemical_formula_sum 'Ba2 Sr4 As2'
_symmetry_space_group_name_H-M 'I 4/m m m'
_symmetry_Int_Tables_number 139
_symmetry_space_group_name_Hall '-I 4 2'
_cell_length_a 5.0891
_cell_length_b 5.0891
_cell_length_c 11.8625
_cell_angle_alpha 90.00
_cell_angle_beta 90.00
_cell_angle_gamma 90.00
loop_
_atom_site_label
_atom_site_fract_x
_atom_site_fract_y
_atom_site_fract_z
Ba1 0.0000 0.0000 0.0000
Sr1 0.0000 0.5000 0.2500
As1 0.0000 0.0000 0.5000
```

- ΔH_f (0 K) (eV per formula unit) = -1.123


Entry 2:
DFT (PBE) results for an optimized crystal structure of Er2TmPaS4.

```
data_Er2TmPaS4
_chemical_formula_sum 'Er2 Tm1 Pa1 S4'
_symmetry_space_group_name_H-M 'P 1 2/m 1'
_symmetry_Int_Tables_number 10
_cell_length_a 6.7041
_cell_length_b 3.8307
_cell_length_c 6.7231
_cell_angle_alpha 90.00
_cell_angle_beta 108.95
_cell_angle_gamma 90.00
loop_
_symmetry_equiv_pos_as_xyz
'x,y,z'
'-x,-y,-z'
'-x,y,-z'
'x,-y,z'
loop_
_atom_site_label
_atom_site_fract_x
_atom_site_fract_y
_atom_site_fract_z
Er1 0.0000 0.0000 0.0000
Er2 0.0000 0.5000 0.5000
Tm1 0.5000 0.0000 0.5000
Pa1 0.5000 0.5000 0.0000
S1 0.2456 0.0000 0.7442
S2 0.2495 0.5000 0.2535
```

- formation energy without anion corrections (eV/atom) = -1.843


Entry 3:
DFT (PBE) results for an optimized crystal structure of InSbSe.

```
data_InSbSe
_chemical_formula_sum 'In2 Sb2 Se2'
_symmetry_space_group_name_H-M 'P 1 m 1'
_symmetry_Int_Tables_number 6
_cell_length_a 6.9701
_cell_length_b 4.1248
_cell_length_c 7.8335
_cell_angle_alpha 90.00
_cell_angle_beta 106.82
_cell_angle_gamma 90.00
loop_
_symmetry_equiv_pos_as_xyz
'x,y,z'
'x,-y,z'
loop_
_atom_site_label
_atom_site_fract_x
_atom_site_fract_y
_atom_site_fract_z
In1 0.0000 0.0000 0.0000
In2 0.4648 0.5000 0.0198
Sb1 0.2637 0.5000 0.6436
Sb2 0.9711 0.0000 0.6301
Se1 0.3824 0.0000 0.2079
Se2 0.8654 0.5000 0.1528
```

- formation energy without anion corrections (eV/atom) = -0.328


Entry 4:
DFT (PBE) results for an optimized crystal structure of CaYSe2O8.

```
data_CaYSe2O8
_chemical_formula_sum 'Ca1 Y1 Se2 O8'
_symmetry_space_group_name_H-M 'P -3 m 1'
_symmetry_Int_Tables_number 164
_symmetry_space_group_name_Hall '-P 3 2"'
_cell_length_a 5.7360
_cell_length_b 5.7360
_cell_length_c 6.9993
_cell_angle_alpha 90.00
_cell_angle_beta 90.00
_cell_angle_gamma 120.00
loop_
_atom_site_label
_atom_site_fract_x
_atom_site_fract_y
_atom_site_fract_z
Ca1 0.0000 0.0000 0.0000
Y1 0.0000 0.0000 0.5000
Se1 0.3333 0.6667 0.7950
O1 0.1628 0.3256 0.7264
O2 0.3333 0.6667 0.0310
```

- formation energy without anion corrections (eV/atom) = -1.597


Copy entry 4 word for word.
DFT (PBE) results for an optimized crystal structure of CaYSe2O8.

```
data_CaYSe2O8
_chemical_formula_sum 'Ca1 Y1 Se2 O8'
_symmetry_space_group_name_H-M 'P -3 m 1'
_symmetry_Int_Tables_number 164
_symmetry_space_group_name_Hall '-P 3 2"'
_cell_length_a 5.7360
_cell_length_b 5.7360
_cell_length_c 6.9993
_cell_angle_alpha 90.00
_cell_angle_beta 90.00
_cell_angle_gamma 120.00
loop_
_atom_site_label
_atom_site_fract_x
_atom_site_fract_y
_atom_site_fract_z
Ca1 0.0000 0.0000 0.0000
Y1 0.0000 0.0000 0.5000
Se1 0.3333 0.6667 0.7950
O1 0.1628 0.3256 0.7264
O2 0.3333 0.6667 0.0310
```

- formation energy without anion corrections (eV/atom) = -1.597